w:
Computed, not measured: Ho2TlS after structural relaxation at the PBE level of DFT.

Cell and atoms, written as POSCAR:
```
Ho2TlS
1.0
3.803 0.000 0.000
-1.901 3.300 0.004
0.000 -2.186 7.906
Ho Tl S
2 1 1
direct
0.733 0.966 0.702
0.267 0.034 0.298
0.500 0.500 0.000
0.000 0.500 0.500
```

Calculated values
total magnetic moment: 0.00 μB/f.u.
N(E_F): 0.449 states/eV/atom

---

x:
Computed, not measured: Ho2TlS after structural relaxation at the PBE level of DFT.

Cell and atoms, written as POSCAR:
```
Ho2TlS
1.0
-2.056 -2.286 -2.195
1.541 -3.140 -1.427
-2.549 -5.946 5.325
S Ho Tl
1 2 1
direct
0.667 0.667 0.998
0.267 0.267 0.198
0.066 0.066 0.804
0.500 0.500 0.501
```

Calculated values
total magnetic moment: 0.00 μB/f.u.
N(E_F): 0.621 states/eV/atom

---

If we sort the structures by their calculated energies, the order from most to least stable is w, x.

---

w:
Computed, not measured: Ho3TmS4 after structural relaxation at the PBE level of DFT.

Cell and atoms, written as POSCAR:
```
Ho3TmS4
1.0
-0.384 -0.329 3.807
6.499 -1.663 0.513
-0.608 6.681 0.516
Ho S Tm
3 4 1
direct
0.500 0.500 0.500
0.000 0.000 0.500
0.000 0.500 0.000
0.000 0.247 0.247
0.500 0.751 0.249
0.000 0.753 0.753
0.500 0.249 0.751
0.500 0.000 0.000
```

Calculated values
total magnetic moment: 0.00 μB/f.u.
N(E_F): 0.589 states/eV/atom

---

x:
Computed, not measured: Ho3TmS4 after structural relaxation at the PBE level of DFT.

Cell and atoms, written as POSCAR:
```
Ho3TmS4
1.0
-4.170 1.906 -2.999
-2.539 -4.833 0.460
-2.485 1.740 4.562
S Tm Ho
4 1 3
direct
0.500 0.000 0.000
0.500 0.500 0.500
0.000 0.000 0.500
0.000 0.500 0.000
0.000 0.000 0.000
0.500 0.000 0.500
0.500 0.500 0.000
0.000 0.500 0.500
```

Calculated values
total magnetic moment: 0.00 μB/f.u.
N(E_F): 0.564 states/eV/atom

---

If we sort the structures by their calculated energies, the order from most to least stable is w, x.

---

w:
Computed, not measured: HoTmS3 after structural relaxation at the PBE level of DFT.

Cell and atoms, written as POSCAR:
```
HoTmS3
1.0
3.846 0.000 0.000
0.000 7.660 0.542
0.000 -1.168 7.604
Ho Tm S
2 2 6
direct
0.750 0.618 0.770
0.250 0.382 0.230
0.250 0.854 0.319
0.750 0.146 0.681
0.250 0.679 0.018
0.750 0.321 0.982
0.250 0.897 0.679
0.250 0.378 0.613
0.750 0.622 0.387
0.750 0.103 0.321
```

Calculated values
total magnetic moment: 0.00 μB/f.u.

---

x:
Computed, not measured: HoTmS3 after structural relaxation at the PBE level of DFT.

Cell and atoms, written as POSCAR:
```
HoTmS3
1.0
-1.630 -3.207 1.864
5.338 -6.501 -2.112
5.798 -2.522 5.132
Ho S Tm
2 6 2
direct
0.631 0.209 0.529
0.369 0.791 0.471
0.044 0.140 0.772
0.355 0.476 0.815
0.956 0.860 0.228
0.645 0.524 0.185
0.267 0.155 0.310
0.733 0.845 0.690
0.853 0.262 0.033
0.147 0.738 0.967
```

Calculated values
total magnetic moment: 0.00 μB/f.u.
N(E_F): 0.000 states/eV/atom

---

If we sort the structures by their calculated energies, the order from most to least stable is w, x.

---

w:
Computed, not measured: HoTm2S after structural relaxation at the PBE level of DFT.

Cell and atoms, written as POSCAR:
```
HoTm2S
1.0
3.586 0.000 0.000
1.793 3.106 0.000
1.793 1.035 9.959
Ho S Tm
1 1 2
direct
0.000 0.000 0.000
0.500 0.500 0.500
0.112 0.112 0.665
0.888 0.888 0.335
```

Calculated values
total magnetic moment: 0.61 μB/f.u.
N(E_F): 1.057 states/eV/atom

---

x:
Computed, not measured: HoTm2S after structural relaxation at the PBE level of DFT.

Cell and atoms, written as POSCAR:
```
HoTm2S
1.0
3.603 -0.001 -0.680
-1.866 3.157 -0.005
-0.104 -0.052 9.320
Tm S Ho
2 1 1
direct
0.791 0.395 0.186
0.210 0.605 0.815
0.000 0.000 0.000
0.666 0.833 0.498
```

Calculated values
total magnetic moment: 0.51 μB/f.u.
N(E_F): 0.776 states/eV/atom

---

If we sort the structures by their calculated energies, the order from most to least stable is x, w.

---

w:
Computed, not measured: Ho2US5 after structural relaxation at the PBE level of DFT.

Cell and atoms, written as POSCAR:
```
Ho2US5
1.0
-3.865 2.095 2.965
4.976 -3.084 3.924
6.587 11.349 0.567
S Ho U
10 4 2
direct
0.755 0.509 0.250
0.953 0.905 0.620
0.953 0.905 0.880
0.314 0.629 0.074
0.047 0.095 0.120
0.686 0.371 0.574
0.047 0.095 0.380
0.686 0.371 0.926
0.245 0.491 0.750
0.314 0.629 0.426
0.146 0.292 0.557
0.854 0.708 0.057
0.146 0.292 0.943
0.854 0.708 0.443
0.199 0.398 0.250
0.801 0.602 0.750
```

Calculated values
total magnetic moment: 2.00 μB/f.u.
N(E_F): 0.531 states/eV/atom

---

x:
Computed, not measured: Ho2US5 after structural relaxation at the PBE level of DFT.

Cell and atoms, written as POSCAR:
```
Ho2US5
1.0
-4.966 -2.040 0.165
-1.163 -4.440 -2.474
-0.725 -4.818 6.072
S Ho U
5 2 1
direct
0.818 0.172 0.191
0.000 0.500 0.500
0.490 0.828 0.191
0.182 0.828 0.809
0.510 0.172 0.809
0.180 0.500 0.140
0.820 0.500 0.860
0.500 0.500 0.500
```

Calculated values
total magnetic moment: 1.79 μB/f.u.
N(E_F): 0.429 states/eV/atom

---

If we sort the structures by their calculated energies, the order from most to least stable is w, x.

---

w:
Computed, not measured: YHo3S4 after structural relaxation at the PBE level of DFT.

Cell and atoms, written as POSCAR:
```
YHo3S4
1.0
-1.455 1.424 3.282
-4.733 3.296 -3.527
-2.325 -6.135 1.631
Ho S Y
3 4 1
direct
0.500 0.500 0.500
0.000 0.500 0.000
0.000 0.000 0.500
0.000 0.748 0.748
0.000 0.252 0.252
0.500 0.749 0.251
0.500 0.251 0.749
0.500 0.000 0.000
```

Calculated values
total magnetic moment: 0.00 μB/f.u.
N(E_F): 0.607 states/eV/atom

---

x:
Computed, not measured: YHo3S4 after structural relaxation at the PBE level of DFT.

Cell and atoms, written as POSCAR:
```
YHo3S4
1.0
5.505 0.000 0.000
0.000 5.505 0.000
0.000 0.000 5.505
S Ho Y
4 3 1
direct
0.000 0.500 0.000
0.000 0.000 0.500
0.500 0.000 0.000
0.500 0.500 0.500
0.500 0.000 0.500
0.000 0.500 0.500
0.500 0.500 0.000
0.000 0.000 0.000
```

Calculated values
total magnetic moment: 0.00 μB/f.u.
N(E_F): 0.561 states/eV/atom

---

If we sort the structures by their calculated energies, the order from most to least stable is w, x.

---

w:
Computed, not measured: Y3HoS4 after structural relaxation at the PBE level of DFT.

Cell and atoms, written as POSCAR:
```
Y3HoS4
1.0
-3.380 -1.890 0.255
3.291 -5.629 1.893
-1.600 3.608 5.525
Y Ho S
3 1 4
direct
0.000 0.000 0.500
0.500 0.500 0.500
0.000 0.500 0.000
0.500 0.000 0.000
0.000 0.752 0.752
0.500 0.249 0.751
0.000 0.248 0.248
0.500 0.751 0.249
```

Calculated values
total magnetic moment: 0.00 μB/f.u.
N(E_F): 0.612 states/eV/atom

---

x:
Computed, not measured: Y3HoS4 after structural relaxation at the PBE level of DFT.

Cell and atoms, written as POSCAR:
```
Y3HoS4
1.0
5.530 0.000 0.000
0.000 5.530 0.000
0.000 0.000 5.530
Y S Ho
3 4 1
direct
0.500 0.000 0.500
0.500 0.500 0.000
0.000 0.500 0.500
0.000 0.000 0.500
0.000 0.500 0.000
0.500 0.000 0.000
0.500 0.500 0.500
0.000 0.000 0.000
```

Calculated values
total magnetic moment: 0.00 μB/f.u.
N(E_F): 0.568 states/eV/atom

---

If we sort the structures by their calculated energies, the order from most to least stable is w, x.

---

w:
Computed, not measured: Ho2ZnS4 after structural relaxation at the PBE level of DFT.

Cell and atoms, written as POSCAR:
```
Ho2ZnS4
1.0
6.321 0.000 0.000
0.000 7.874 0.000
0.000 0.000 13.503
Zn S Ho
4 16 8
direct
0.589 0.750 0.908
0.911 0.750 0.408
0.411 0.250 0.092
0.089 0.250 0.592
0.244 0.014 0.168
0.775 0.250 0.090
0.756 0.750 0.570
0.275 0.750 0.410
0.744 0.986 0.332
0.756 0.514 0.832
0.756 0.986 0.832
0.256 0.486 0.668
0.256 0.014 0.668
0.744 0.514 0.332
0.725 0.250 0.590
0.256 0.250 0.930
0.244 0.486 0.168
0.744 0.750 0.070
0.244 0.250 0.430
0.225 0.750 0.910
0.504 0.250 0.766
0.000 0.000 0.000
0.004 0.750 0.734
0.500 0.500 0.500
0.996 0.250 0.266
0.000 0.500 0.000
0.500 0.000 0.500
0.496 0.750 0.234
```

Calculated values
total magnetic moment: 0.00 μB/f.u.
N(E_F): 0.000 states/eV/atom

---

x:
Computed, not measured: Ho2ZnS4 after structural relaxation at the PBE level of DFT.

Cell and atoms, written as POSCAR:
```
Ho2ZnS4
1.0
-6.858 3.262 -1.635
-0.896 1.873 7.486
-1.375 7.375 2.022
Ho S Zn
4 8 2
direct
0.500 0.000 0.000
0.500 0.000 0.500
0.500 0.500 0.500
0.000 0.000 0.000
0.252 0.756 0.996
0.748 0.752 0.004
0.256 0.752 0.496
0.748 0.244 0.004
0.252 0.248 0.996
0.252 0.248 0.504
0.748 0.752 0.496
0.744 0.248 0.504
0.125 0.375 0.250
0.875 0.625 0.750
```

Calculated values
total magnetic moment: 0.00 μB/f.u.

---

If we sort the structures by their calculated energies, the order from most to least stable is w, x.

---

w:
Computed, not measured: HoZrS after structural relaxation at the PBE level of DFT.

Cell and atoms, written as POSCAR:
```
HoZrS
1.0
-0.722 -1.677 3.420
-2.902 -2.013 -1.600
5.664 -6.560 -2.018
Ho Zr S
2 2 2
direct
0.250 0.750 0.822
0.750 0.250 0.178
0.750 0.250 0.563
0.250 0.750 0.437
0.250 0.750 0.136
0.750 0.250 0.864
```

Calculated values
total magnetic moment: 0.00 μB/f.u.
N(E_F): 0.803 states/eV/atom

---

x:
Computed, not measured: HoZrS after structural relaxation at the PBE level of DFT.

Cell and atoms, written as POSCAR:
```
HoZrS
1.0
-2.436 2.113 1.754
-0.113 0.013 3.669
3.019 5.083 1.911
Ho S Zr
1 1 1
direct
0.602 0.602 0.194
0.362 0.362 0.914
0.110 0.110 0.671
```

Calculated values
total magnetic moment: 0.02 μB/f.u.
N(E_F): 1.041 states/eV/atom

---

y:
Computed, not measured: HoZrS after structural relaxation at the PBE level of DFT.

Cell and atoms, written as POSCAR:
```
HoZrS
1.0
4.009 0.000 0.000
0.000 4.425 0.000
0.000 -2.213 3.832
Ho Zr S
1 1 1
direct
0.667 0.667 0.333
0.167 0.333 0.667
0.167 0.000 0.000
```

Calculated values
total magnetic moment: 0.00 μB/f.u.
N(E_F): 1.014 states/eV/atom

---

If we sort the structures by their calculated energies, the order from most to least stable is w, x, y.

---

w:
Computed, not measured: HoZrS2 after structural relaxation at the PBE level of DFT.

Cell and atoms, written as POSCAR:
```
HoZrS2
1.0
-3.399 1.406 -0.140
-2.424 -0.778 2.658
0.118 5.528 4.275
S Zr Ho
2 1 1
direct
0.080 0.080 0.761
0.254 0.254 0.237
0.671 0.671 0.987
0.495 0.495 0.514
```

Calculated values
total magnetic moment: 0.00 μB/f.u.
N(E_F): 0.721 states/eV/atom

---

x:
Computed, not measured: HoZrS2 after structural relaxation at the PBE level of DFT.

Cell and atoms, written as POSCAR:
```
HoZrS2
1.0
3.798 0.000 0.000
1.899 3.289 0.000
1.899 1.096 6.178
Ho S Zr
1 2 1
direct
0.500 0.500 0.500
0.253 0.253 0.242
0.747 0.747 0.758
0.000 0.000 0.000
```

Calculated values
total magnetic moment: 0.00 μB/f.u.
N(E_F): 0.393 states/eV/atom

---

If we sort the structures by their calculated energies, the order from most to least stable is x, w.

---

w:
Computed, not measured: Ho2ZrS5 after structural relaxation at the PBE level of DFT.

Cell and atoms, written as POSCAR:
```
Ho2ZrS5
1.0
-1.120 5.584 4.490
-6.262 -3.531 2.831
6.555 -5.165 8.059
Zr S Ho
4 20 8
direct
0.079 0.750 0.494
0.421 0.750 0.994
0.921 0.250 0.506
0.579 0.250 0.006
0.660 0.962 0.096
0.829 0.750 0.318
0.306 0.750 0.209
0.450 0.750 0.497
0.660 0.538 0.096
0.694 0.250 0.791
0.340 0.462 0.904
0.950 0.250 0.003
0.050 0.750 0.997
0.671 0.750 0.818
0.840 0.538 0.596
0.340 0.038 0.904
0.550 0.250 0.503
0.840 0.962 0.596
0.194 0.750 0.709
0.160 0.038 0.404
0.806 0.250 0.291
0.160 0.462 0.404
0.171 0.250 0.682
0.329 0.250 0.182
0.519 0.497 0.320
0.981 0.003 0.820
0.481 0.503 0.680
0.981 0.497 0.820
0.019 0.997 0.180
0.481 0.997 0.680
0.019 0.503 0.180
0.519 0.003 0.320
```

Calculated values
total magnetic moment: 0.00 μB/f.u.

---

x:
Computed, not measured: Ho2ZrS5 after structural relaxation at the PBE level of DFT.

Cell and atoms, written as POSCAR:
```
Ho2ZrS5
1.0
-2.961 -0.575 -4.235
-0.689 -5.429 4.411
-9.597 6.007 5.893
Zr S Ho
2 10 4
direct
0.193 0.386 0.250
0.807 0.614 0.750
0.690 0.380 0.920
0.258 0.517 0.750
0.742 0.483 0.250
0.310 0.620 0.420
0.690 0.380 0.580
0.952 0.903 0.623
0.048 0.097 0.377
0.310 0.620 0.080
0.952 0.903 0.877
0.048 0.097 0.123
0.854 0.709 0.440
0.146 0.291 0.560
0.146 0.291 0.940
0.854 0.709 0.060
```

Calculated values
total magnetic moment: 0.00 μB/f.u.
N(E_F): 0.000 states/eV/atom

---

If we sort the structures by their calculated energies, the order from most to least stable is w, x.